Entry A
The following is a DFT calculation (PBE) of a geometry-optimized Eu2SnO structure.

## Properties
As for the crystal system: tetragonal. Its calculated density is 8.4 g/cm³. For the magnetic moment, the calculation gives 14.010 μB/f.u.

abc: 3.2704 3.2704 8.0703
angles: 90.00 90.00 90.00
Space group P4/mmm (No. 123)
Unique sites:
Eu: 0.0000 0.0000 0.1888 [2 per cell]
Sn: 0.5000 0.5000 0.5000 [1 per cell]
O: 0.5000 0.5000 0.0000 [1 per cell]

=====

Entry B
The following is a DFT calculation (PBE) of a geometry-optimized Eu2SnO structure.

## Properties
As for the crystal system: trigonal. Its calculated density is 7.6 g/cm³. For the magnetic moment, the calculation gives 14.112 μB/f.u.

abc: 3.7076 3.7076 24.0392
angles: 90.00 90.00 120.00
Space group R-3m (No. 166, hexagonal axes)
Unique sites:
Eu: 0.0000 0.0000 0.2251 [6 per cell]
Sn: 0.0000 0.0000 0.0000 [3 per cell]
O: 0.0000 0.0000 0.5000 [3 per cell]

=====

Tell me which of them is the most stable. Sure, it is entry B.

=====

Entry A
The following is a DFT calculation (PBE) of a geometry-optimized Sm2EuOs structure.

## Properties
As for the crystal system: tetragonal. Its calculated density is 8.9 g/cm³. For the magnetic moment, the calculation gives 7.597 μB/f.u.

abc: 3.4866 3.4866 9.9038
angles: 90.00 90.00 90.00
Space group P4/mmm (No. 123)
Unique sites:
Sm: 0.0000 0.0000 0.1707 [2 per cell]
Eu: 0.5000 0.5000 0.5000 [1 per cell]
Os: 0.5000 0.5000 0.0000 [1 per cell]

=====

Entry B
The following is a DFT calculation (PBE) of a geometry-optimized Sm2EuOs structure.

## Properties
As for the crystal system: cubic. Its calculated density is 10.6 g/cm³. For the magnetic moment, the calculation gives 7.267 μB/f.u.

abc: 7.3755 7.3755 7.3755
angles: 90.00 90.00 90.00
Space group Fm-3m (No. 225)
Unique sites:
Sm: 0.2500 0.2500 0.2500 [8 per cell]
Eu: 0.0000 0.0000 0.0000 [4 per cell]
Os: 0.0000 0.0000 0.5000 [4 per cell]

=====

Tell me which of them is the most stable. Sure, it is entry A.

=====

Entry A
The following is a DFT calculation (PBE) of a geometry-optimized EuTm2Os structure.

## Properties
As for the crystal system: cubic. Its calculated density is 12.2 g/cm³. For the magnetic moment, the calculation gives 7.136 μB/f.u.

abc: 7.1877 7.1877 7.1877
angles: 90.00 90.00 90.00
Space group Fm-3m (No. 225)
Unique sites:
Eu: 0.0000 0.0000 0.0000 [4 per cell]
Tm: 0.2500 0.2500 0.2500 [8 per cell]
Os: 0.0000 0.0000 0.5000 [4 per cell]

=====

Entry B
The following is a DFT calculation (PBE) of a geometry-optimized EuTm2Os structure.

## Properties
As for the crystal system: tetragonal. Its calculated density is 10.3 g/cm³. For the magnetic moment, the calculation gives 7.498 μB/f.u.

abc: 3.3991 3.3991 9.4701
angles: 90.00 90.00 90.00
Space group P4/mmm (No. 123)
Unique sites:
Eu: 0.0000 0.0000 0.0000 [1 per cell]
Tm: 0.5000 0.5000 0.3295 [2 per cell]
Os: 0.0000 0.0000 0.5000 [1 per cell]

=====

Tell me which of them is the most stable. Sure, it is entry B.

=====

Entry A
The following is a DFT calculation (PBE) of a geometry-optimized Eu3P structure.

## Properties
As for the crystal system: orthorhombic. Its calculated density is 6.2 g/cm³. For the magnetic moment, the calculation gives 7.897 μB/f.u.

abc: 3.7915 5.0214 13.7832
angles: 90.00 90.00 90.00
Space group Immm (No. 71)
Unique sites:
Eu: 0.0000 0.0000 0.0000 [2 per cell]
Eu: 0.0000 0.5000 0.1684 [4 per cell]
P: 0.0000 0.0000 0.5000 [2 per cell]

=====

Entry B
The following is a DFT calculation (PBE) of a geometry-optimized Eu3P structure.

## Properties
As for the crystal system: hexagonal. Its calculated density is 7.2 g/cm³. For the magnetic moment, the calculation gives 22.448 μB/f.u.

abc: 7.0790 7.0790 5.1680
angles: 90.00 90.00 120.00
Space group P6_3/mmc (No. 194)
Unique sites:
Eu: 0.1812 0.3624 0.2500 [6 per cell]
P: 0.3333 0.6667 0.7500 [2 per cell]

=====

Tell me which of them is the most stable. Sure, it is entry A.

=====

Entry A
The following is a DFT calculation (PBE) of a geometry-optimized PmEuP structure.

## Properties
As for the crystal system: cubic. Its calculated density is 6.6 g/cm³. For the magnetic moment, the calculation gives 7.667 μB/f.u.

abc: 6.9228 6.9228 6.9228
angles: 90.00 90.00 90.00
Space group F-43m (No. 216)
Unique sites:
Pm: 0.0000 0.0000 0.0000 [4 per cell]
Eu: 0.0000 0.0000 0.5000 [4 per cell]
P: 0.2500 0.2500 0.2500 [4 per cell]

=====

Entry B
The following is a DFT calculation (PBE) of a geometry-optimized PmEuP structure.

## Properties
As for the crystal system: tetragonal. Its calculated density is 6.2 g/cm³. For the magnetic moment, the calculation gives 7.197 μB/f.u.

abc: 3.6667 3.6667 13.1686
angles: 90.00 90.00 90.00
Space group I4mm (No. 107)
Unique sites:
Pm: 0.0000 0.0000 0.0000 [2 per cell]
Eu: 0.0000 0.0000 0.7553 [2 per cell]
P: 0.0000 0.0000 0.3955 [2 per cell]

=====

Entry C
The following is a DFT calculation (PBE) of a geometry-optimized PmEuP structure.

## Properties
As for the crystal system: trigonal. Its calculated density is 5.5 g/cm³. For the magnetic moment, the calculation gives 7.679 μB/f.u.

abc: 4.0859 4.0859 6.8375
angles: 90.00 90.00 120.00
Space group P3m1 (No. 156)
Unique sites:
Pm: 0.0000 0.0000 0.0000 [1 per cell]
Eu: 0.3333 0.6667 0.5208 [1 per cell]
P: 0.6667 0.3333 0.7775 [1 per cell]

=====

Tell me which of them is the most stable. Sure, it is entry C.

=====

Entry A
The following is a DFT calculation (PBE) of a geometry-optimized PmEuP2 structure.

## Properties
As for the crystal system: tetragonal. Its calculated density is 6.5 g/cm³. For the magnetic moment, the calculation gives 6.492 μB/f.u.

abc: 5.0690 5.0690 3.5489
angles: 90.00 90.00 90.00
Space group P4/mmm (No. 123)
Unique sites:
Pm: 0.0000 0.0000 0.0000 [1 per cell]
Eu: 0.5000 0.5000 0.0000 [1 per cell]
P: 0.0000 0.5000 0.5000 [2 per cell]

=====

Entry B
The following is a DFT calculation (PBE) of a geometry-optimized PmEuP2 structure.

## Properties
As for the crystal system: trigonal. Its calculated density is 5.9 g/cm³. For the magnetic moment, the calculation gives 6.356 μB/f.u.

abc: 4.1509 4.1509 20.3743
angles: 90.00 90.00 120.00
Space group R-3m (No. 166, hexagonal axes)
Unique sites:
Pm: 0.0000 0.0000 0.0000 [3 per cell]
Eu: 0.0000 0.0000 0.5000 [3 per cell]
P: 0.0000 0.0000 0.2512 [6 per cell]

=====

Tell me which of them is the most stable. Sure, it is entry B.